LiBeRu2: optimized geometry, GGA-PBE.

```
LiBeRu2
1.0
2.5191 -3.0169 0.0000
2.5191 3.0169 0.0000
0.0000 0.0000 3.0695
Li Be Ru
1 1 2
Direct
0.0000 0.0000 0.0000
0.5000 0.5000 0.0000
0.0000 0.5000 0.5000
0.5000 0.0000 0.5000
```

## Properties
Calculated total energy, hartree per atom: -0.2150
Space-group type: No. 65
Formation enthalpy at 0 K, eV per formula unit: 0.79
Spin magnetization, μB/f.u.: 0.0
D(E_F), states/eV/f.u.: 4.2

***

LiBe17Ru: optimized geometry, GGA-PBE.

```
LiBe17Ru
1.0
3.6241 2.0924 3.5891
-3.6241 2.0924 3.5891
0.0000 -4.1848 3.5891
Li Be Ru
1 17 1
Direct
0.0000 0.0000 0.0000
0.0382 0.3439 0.6425
0.0382 0.6425 0.3439
0.1897 0.6846 0.6846
0.2436 0.2436 0.2436
0.3439 0.0382 0.6425
0.3439 0.6425 0.0382
0.3464 0.3464 0.8413
0.3464 0.8413 0.3464
0.4418 0.4418 0.4418
0.5101 0.9922 0.9922
0.6425 0.0382 0.3439
0.6425 0.3439 0.0382
0.6846 0.1897 0.6846
0.6846 0.6846 0.1897
0.8413 0.3464 0.3464
0.9922 0.5101 0.9922
0.9922 0.9922 0.5101
0.6677 0.6677 0.6677
```

## Properties
Calculated total energy, hartree per atom: -0.1475
Space-group type: No. 160
Formation enthalpy at 0 K, eV per formula unit: -1.70
Spin magnetization, μB/f.u.: 0.0
D(E_F), states/eV/f.u.: 3.8

***

LiBeRu2: optimized geometry, GGA-PBE.

```
LiBeRu2
1.0
1.3761 -2.2352 0.0000
1.3761 2.2352 0.0000
0.0000 0.0000 8.6736
Li Be Ru
1 1 2
Direct
0.0000 0.0000 0.0000
0.5000 0.5000 0.7412
0.0000 0.0000 0.5248
0.5000 0.5000 0.2628
```

## Properties
Calculated total energy, hartree per atom: -0.2109
Space-group type: No. 35
Formation enthalpy at 0 K, eV per formula unit: 1.24
Spin magnetization, μB/f.u.: 0.4
D(E_F), states/eV/f.u.: 4.4

***

LiBeRu2: optimized geometry, GGA-PBE.

```
LiBeRu2
1.0
-1.7779 1.7779 8.5097
1.7779 -1.7779 8.5097
1.7779 1.7779 -8.5097
Li Be Ru
2 2 4
Direct
0.0000 0.0000 0.0000
0.7500 0.2500 0.5000
0.2500 0.7500 0.5000
0.5000 0.5000 0.0000
0.1301 0.6250 0.0051
0.3750 0.3801 0.5051
0.6199 0.1250 0.9949
0.8750 0.8699 0.4949
```

## Properties
Calculated total energy, hartree per atom: -0.2030
Space-group type: No. 122
Formation enthalpy at 0 K, eV per formula unit: 2.09
Spin magnetization, μB/f.u.: 0.0
D(E_F), states/eV/f.u.: 3.6

***

LiBeRu: optimized geometry, GGA-PBE.

```
LiBeRu
1.0
4.2743 0.0000 0.0000
-2.0057 3.9349 0.0000
-1.5124 -1.5027 4.1751
Li Be Ru
2 2 2
Direct
0.0000 0.0000 0.0000
0.3294 0.6598 0.0154
0.4240 0.5099 0.5135
0.6550 0.3152 0.9786
0.0824 0.8332 0.4920
0.7594 0.2040 0.4945
```

## Properties
Calculated total energy, hartree per atom: -0.1820
E above lowest polymorph, eV/atom: 0.104
Space-group type: No. 1
Formation enthalpy at 0 K, eV per formula unit: 0.05
Spin magnetization, μB/f.u.: 0.0
D(E_F), states/eV/f.u.: 2.1

***

LiBeRu2: optimized geometry, GGA-PBE.

```
LiBeRu2
1.0
-1.4714 1.9844 3.9832
1.4714 -1.9844 3.9832
1.4714 1.9844 -3.9832
Li Be Ru
1 1 2
Direct
0.0000 0.0000 0.0000
0.7674 0.2674 0.5000
0.2629 0.7629 0.5000
0.5297 0.5297 0.0000
```

## Properties
Calculated total energy, hartree per atom: -0.2203
Space-group type: No. 44
Formation enthalpy at 0 K, eV per formula unit: 0.21
Spin magnetization, μB/f.u.: 0.0
D(E_F), states/eV/f.u.: 3.2

***

LiBeRu: optimized geometry, GGA-PBE.

```
LiBeRu
1.0
0.0000 2.7281 2.7281
2.7281 0.0000 2.7281
2.7281 2.7281 0.0000
Li Be Ru
1 1 1
Direct
0.0000 0.0000 0.0000
0.5000 0.5000 0.5000
0.2500 0.2500 0.2500
```

## Properties
Calculated total energy, hartree per atom: -0.1550
E above lowest polymorph, eV/atom: 0.841
Space-group type: No. 216
Formation enthalpy at 0 K, eV per formula unit: 2.26
Spin magnetization, μB/f.u.: 0.9
D(E_F), states/eV/f.u.: 2.9

***

LiBeRu2: optimized geometry, GGA-PBE.

```
LiBeRu2
1.0
2.8232 0.0000 0.0000
0.0000 4.0466 0.0000
0.0000 0.0000 4.3247
Li Be Ru
1 1 2
Direct
0.0000 0.0000 0.0000
0.5000 0.0000 0.5000
0.0000 0.5000 0.5000
0.5000 0.5000 0.0000
```

## Properties
Calculated total energy, hartree per atom: -0.2159
Space-group type: No. 47
Formation enthalpy at 0 K, eV per formula unit: 0.69
Spin magnetization, μB/f.u.: 0.0
D(E_F), states/eV/f.u.: 3.3

***

Li3BeRu: optimized geometry, GGA-PBE.

```
Li3BeRu
1.0
4.1291 0.0000 0.0000
0.0000 4.1291 0.0000
0.0000 0.0000 4.1291
Li Be Ru
3 1 1
Direct
0.0000 0.0000 0.5000
0.0000 0.5000 0.0000
0.5000 0.0000 0.0000
0.0000 0.0000 0.0000
0.5000 0.5000 0.5000
```

## Properties
Calculated total energy, hartree per atom: -0.1029
E above lowest polymorph, eV/atom: 0.000
Space-group type: No. 221
Formation enthalpy at 0 K, eV per formula unit: 4.74
Spin magnetization, μB/f.u.: 1.1
D(E_F), states/eV/f.u.: 2.7

***

LiBeRu: optimized geometry, GGA-PBE.

```
LiBeRu
1.0
4.6165 -1.4496 0.0000
4.6165 1.4496 0.0000
-1.6562 0.0000 5.5538
Li Be Ru
2 2 2
Direct
0.1522 0.1522 0.0661
0.8478 0.8478 0.9339
0.4868 0.4868 0.6859
0.5132 0.5132 0.3141
0.1608 0.1608 0.5818
0.8392 0.8392 0.4182
```

## Properties
Calculated total energy, hartree per atom: -0.1834
E above lowest polymorph, eV/atom: 0.068
Space-group type: No. 12
Formation enthalpy at 0 K, eV per formula unit: -0.05
Spin magnetization, μB/f.u.: 0.0
D(E_F), states/eV/f.u.: 1.9

***

LiBeRu: optimized geometry, GGA-PBE.

```
LiBeRu
1.0
4.8193 -1.3172 0.0000
4.8193 1.3172 0.0000
-1.9249 0.0000 5.5272
Li Be Ru
2 2 2
Direct
0.0000 0.0000 0.0000
0.6464 0.6464 0.3632
0.0231 0.0231 0.5921
0.3250 0.3250 0.6479
0.3603 0.3603 0.2747
0.7119 0.7119 0.8764
```

## Properties
Calculated total energy, hartree per atom: -0.1823
E above lowest polymorph, eV/atom: 0.099
Space-group type: No. 8
Formation enthalpy at 0 K, eV per formula unit: 0.04
Spin magnetization, μB/f.u.: 0.0
D(E_F), states/eV/f.u.: 2.0

***

LiBeRu2: optimized geometry, GGA-PBE.

```
LiBeRu2
1.0
2.6939 0.0000 0.0000
0.0000 3.6960 0.0000
0.0000 0.0000 5.0688
Li Be Ru
1 1 2
Direct
0.0000 0.0000 0.0000
0.5000 0.5000 0.7711
0.0000 0.0000 0.5127
0.5000 0.5000 0.2886
```

## Properties
Calculated total energy, hartree per atom: -0.2181
Space-group type: No. 25
Formation enthalpy at 0 K, eV per formula unit: 0.46
Spin magnetization, μB/f.u.: 0.0
D(E_F), states/eV/f.u.: 2.4